Record 1
# K2Pa3O8

A geometry-optimized K2Pa3O8 structure (PBE, Alexandria via LeMat-Bulk).

Values from the calculation:
D(E_F) = 3.8 states/eV per cell
symmetry = No. 10
uncorrected formation energy = -3.11 eV/atom
M_tot = 1.1 μB per formula unit
E = -8.523 eV per atom

a b c (Å): 3.649 7.299 10.112
angles (deg): 65.11 90.00 90.00
Positions (direct):
O1 0.000 0.952 0.881
O2 0.500 0.126 0.609
O3 0.000 0.420 0.410
O4 0.500 0.280 0.809
O5 0.500 0.874 0.391
O6 0.000 0.580 0.590
O7 0.000 0.048 0.119
O8 0.500 0.720 0.191
Pa1 0.000 0.259 0.650
Pa2 0.000 0.741 0.350
Pa3 0.500 0.000 0.000
K1 0.500 0.281 0.293
K2 0.500 0.719 0.707



Record 2
# K3PaO6

A geometry-optimized K3PaO6 structure (PBE, Alexandria via LeMat-Bulk).

Values from the calculation:
D(E_F) = 4.9 states/eV per cell
symmetry = No. 182
uncorrected formation energy = -1.70 eV/atom
M_tot = 1.9 μB per formula unit
E = -5.959 eV per atom

a b c (Å): 6.527 6.527 10.977
angles (deg): 90.00 90.00 120.00
Positions (direct):
Pa1 0.667 0.333 0.750
Pa2 0.333 0.667 0.250
O1 0.102 0.421 0.135
O2 0.421 0.318 0.635
O3 0.318 0.421 0.365
O4 0.682 0.102 0.635
O5 0.682 0.579 0.865
O6 0.579 0.682 0.135
O7 0.102 0.682 0.365
O8 0.318 0.898 0.135
O9 0.898 0.579 0.635
O10 0.579 0.898 0.365
O11 0.898 0.318 0.865
O12 0.421 0.102 0.865
K1 0.000 0.000 0.000
K2 0.000 0.000 0.500
K3 0.667 0.333 0.421
K4 0.667 0.333 0.079
K5 0.333 0.667 0.579
K6 0.333 0.667 0.921



Record 3
# K3Pa2O6

A geometry-optimized K3Pa2O6 structure (PBE, Alexandria via LeMat-Bulk).

Values from the calculation:
D(E_F) = 1.5 states/eV per cell
symmetry = No. 139
uncorrected formation energy = -2.73 eV/atom
M_tot = 1.0 μB per formula unit
E = -7.465 eV per atom

a b c (Å): 4.373 4.373 11.766
angles (deg): 100.71 100.71 90.00
Positions (direct):
O1 0.913 0.413 0.826
O2 0.688 0.688 0.375
O3 0.413 0.913 0.826
O4 0.087 0.587 0.174
O5 0.312 0.312 0.625
O6 0.587 0.087 0.174
K1 0.195 0.195 0.390
K2 0.805 0.805 0.610
K3 0.000 0.000 0.000
Pa1 0.599 0.599 0.197
Pa2 0.401 0.401 0.803



Record 4
# KPa5O12

A geometry-optimized KPa5O12 structure (PBE, Alexandria via LeMat-Bulk).

Values from the calculation:
D(E_F) = 10.5 states/eV per cell
symmetry = No. 12
uncorrected formation energy = -3.22 eV/atom
M_tot = 2.1 μB per formula unit
E = -9.228 eV per atom

a b c (Å): 10.196 6.278 10.196
angles (deg): 94.30 142.34 105.28
Positions (direct):
Pa1 0.508 0.261 0.753
Pa2 0.255 0.166 0.910
Pa3 0.745 0.834 0.090
Pa4 0.492 0.739 0.247
Pa5 0.000 0.000 0.000
O1 0.605 0.482 0.264
O2 0.718 0.055 0.901
O3 0.708 0.968 0.260
O4 0.292 0.032 0.740
O5 0.153 0.055 0.337
O6 0.282 0.945 0.099
O7 0.234 0.374 0.140
O8 0.395 0.518 0.736
O9 0.766 0.626 0.860
O10 0.782 0.518 0.122
O11 0.218 0.482 0.878
O12 0.847 0.945 0.663
K1 0.000 0.500 0.500



Record 5
# K3PaPb2O6

A geometry-optimized K3PaPb2O6 structure (PBE, Alexandria via LeMat-Bulk).

Values from the calculation:
D(E_F) = 0.0 states/eV per cell
symmetry = No. 164
uncorrected formation energy = -2.06 eV/atom
M_tot = 0.0 μB per formula unit
E = -6.222 eV per atom

a b c (Å): 6.270 6.270 7.230
angles (deg): 90.00 90.00 120.00
Positions (direct):
O1 0.837 0.163 0.678
O2 0.837 0.674 0.678
O3 0.163 0.837 0.322
O4 0.163 0.326 0.322
O5 0.674 0.837 0.322
O6 0.326 0.163 0.678
K1 0.000 0.000 0.000
K2 0.667 0.333 0.370
K3 0.333 0.667 0.630
Pa1 0.000 0.000 0.500
Pb1 0.667 0.333 0.842
Pb2 0.333 0.667 0.158



Record 6
# K2PaPbO6

A geometry-optimized K2PaPbO6 structure (PBE, Alexandria via LeMat-Bulk).

Values from the calculation:
D(E_F) = 8.7 states/eV per cell
symmetry = No. 148
uncorrected formation energy = -2.02 eV/atom
M_tot = 1.0 μB per formula unit
E = -6.537 eV per atom

a b c (Å): 6.141 6.141 6.141
angles (deg): 60.00 60.00 60.00
Positions (direct):
O1 0.064 0.062 0.305
O2 0.571 0.063 0.799
O3 0.062 0.569 0.305
O4 0.568 0.571 0.799
O5 0.569 0.064 0.305
O6 0.063 0.568 0.799
K1 0.566 0.566 0.301
K2 0.066 0.066 0.801
Pa1 0.816 0.816 0.552
Pb1 0.316 0.316 0.052



Record 7
# KPa2PbO8

A geometry-optimized KPa2PbO8 structure (PBE, Alexandria via LeMat-Bulk).

Values from the calculation:
D(E_F) = 8.6 states/eV per cell
symmetry = No. 10
uncorrected formation energy = -2.39 eV/atom
M_tot = 0.6 μB per formula unit
E = -7.682 eV per atom

a b c (Å): 5.234 5.234 7.221
angles (deg): 90.00 90.00 87.75
Positions (direct):
O1 0.787 0.214 0.786
O2 0.664 0.666 0.500
O3 0.213 0.786 0.786
O4 0.213 0.786 0.214
O5 0.336 0.334 0.500
O6 0.787 0.214 0.214
O7 0.314 0.313 0.000
O8 0.686 0.687 0.000
Pb1 0.000 0.000 0.000
Pa1 0.500 0.500 0.749
Pa2 0.500 0.500 0.251
K1 0.000 0.000 0.500



Record 8
# KPaPbO5

A geometry-optimized KPaPbO5 structure (PBE, Alexandria via LeMat-Bulk).

Values from the calculation:
symmetry = No. 15
uncorrected formation energy = -2.22 eV/atom
M_tot = 0.0 μB per formula unit
E = -7.104 eV per atom

a b c (Å): 6.507 6.507 8.296
angles (deg): 104.30 104.30 106.33
Positions (direct):
Pa1 0.000 0.000 0.500
Pa2 0.000 0.000 0.000
Pb1 0.683 0.317 0.250
Pb2 0.317 0.683 0.750
O1 0.650 0.763 0.911
O2 0.350 0.237 0.089
O3 0.889 0.287 0.094
O4 0.237 0.350 0.589
O5 0.287 0.889 0.594
O6 0.713 0.111 0.406
O7 0.946 0.054 0.750
O8 0.054 0.946 0.250
O9 0.763 0.650 0.411
O10 0.111 0.713 0.906
K1 0.677 0.323 0.750
K2 0.323 0.677 0.250



Record 9
# KPaPbO4

A geometry-optimized KPaPbO4 structure (PBE, Alexandria via LeMat-Bulk).

Values from the calculation:
D(E_F) = 0.0 states/eV per cell
symmetry = No. 74
uncorrected formation energy = -2.48 eV/atom
M_tot = 0.0 μB per formula unit
E = -7.358 eV per atom

a b c (Å): 7.417 7.400 7.222
angles (deg): 119.21 90.00 120.08
Positions (direct):
O1 0.302 0.605 0.787
O2 0.698 0.395 0.213
O3 0.318 0.011 0.255
O4 0.682 0.989 0.745
O5 0.308 0.989 0.745
O6 0.692 0.011 0.255
O7 0.698 0.395 0.683
O8 0.302 0.605 0.317
K1 0.867 0.734 0.117
K2 0.133 0.266 0.883
Pb1 0.500 0.500 0.500
Pb2 0.000 0.500 0.500
Pa1 0.500 0.000 0.500
Pa2 0.500 0.000 0.000



Record 10
# KPa2Pb2O7

A geometry-optimized KPa2Pb2O7 structure (PBE, Alexandria via LeMat-Bulk).

Values from the calculation:
D(E_F) = 2.4 states/eV per cell
symmetry = No. 71
uncorrected formation energy = -2.51 eV/atom
M_tot = 0.4 μB per formula unit
E = -7.697 eV per atom

a b c (Å): 4.293 4.517 12.742
angles (deg): 100.20 99.68 90.01
Positions (direct):
Pa1 0.411 0.411 0.822
Pa2 0.589 0.589 0.178
O1 0.400 0.900 0.799
O2 0.675 0.675 0.350
O3 0.081 0.581 0.162
O4 0.919 0.419 0.838
O5 0.500 0.500 0.000
O6 0.325 0.325 0.650
O7 0.600 0.100 0.201
K1 0.000 0.000 0.000
Pb1 0.298 0.798 0.596
Pb2 0.702 0.202 0.404



Record 11
# K4PaPb3O12

A geometry-optimized K4PaPb3O12 structure (PBE, Alexandria via LeMat-Bulk).

Values from the calculation:
D(E_F) = 12.2 states/eV per cell
symmetry = No. 229
uncorrected formation energy = -1.41 eV/atom
M_tot = 3.1 μB per formula unit
E = -5.633 eV per atom

a b c (Å): 7.531 7.531 7.531
angles (deg): 109.47 109.47 109.47
Positions (direct):
Pb1 0.500 0.000 0.500
Pb2 0.000 0.500 0.500
Pb3 0.500 0.500 0.000
K1 0.000 0.500 0.000
K2 0.500 0.000 0.000
K3 0.500 0.500 0.500
K4 0.000 0.000 0.500
Pa1 0.000 0.000 0.000
O1 0.750 0.500 0.250
O2 0.247 0.247 0.000
O3 0.500 0.750 0.250
O4 0.000 0.753 0.753
O5 0.750 0.250 0.500
O6 0.247 0.000 0.247
O7 0.250 0.750 0.500
O8 0.000 0.247 0.247
O9 0.500 0.250 0.750
O10 0.250 0.500 0.750
O11 0.753 0.753 0.000
O12 0.753 0.000 0.753



Record 12
# K2PaPdO4

A geometry-optimized K2PaPdO4 structure (PBE, Alexandria via LeMat-Bulk).

Values from the calculation:
D(E_F) = 0.0 states/eV per cell
symmetry = No. 82
uncorrected formation energy = -1.91 eV/atom
M_tot = 1.0 μB per formula unit
E = -6.496 eV per atom

a b c (Å): 5.827 5.827 5.827
angles (deg): 102.66 112.98 112.98
Positions (direct):
K1 0.000 0.000 0.000
K2 0.500 0.750 0.250
O1 0.455 0.871 0.721
O2 0.851 0.584 0.129
O3 0.545 0.266 0.416
O4 0.149 0.279 0.734
Pd1 0.000 0.500 0.500
Pa1 0.500 0.250 0.750